Li4Ag3 (PBEsol, optimized geometry); DFT total energy = -18.6 eV for the cell shown; ΔE_f = -0.1162 eV/atom
1.0
4.8933 0.0000 0.0000
0.0000 5.3941 0.0000
0.0000 -2.6971 4.6715
Ag Li
3 4
Cartesian
0.0000 -1.3485 2.3357
0.0000 2.6971 0.0000
0.0000 1.3485 2.3357
1.1780 0.0000 0.0000
2.4467 0.0000 3.1143
3.7153 0.0000 0.0000
2.4467 2.6971 1.5572

---

SrAl2Co (PBEsol, optimized geometry); DFT total energy = -16.8 eV for the cell shown; ΔE_f = 0.2397 eV/atom
1.0
-3.8543 -1.4193 -2.1638
4.1759 -1.1670 -1.6930
1.4638 -4.3969 0.2765
Co Al Sr
1 2 1
Cartesian
-1.1952 -2.9081 -0.9436
0.2951 -4.9456 -2.2620
1.4903 -2.0375 -1.3183
0.0000 0.0000 0.0000

---

Be2AlS (PBEsol, optimized geometry); DFT total energy = -31.9 eV for the cell shown
1.0
5.5057 0.0000 0.0000
-2.7528 5.1115 0.0389
0.0000 2.9297 4.6615
S Be Al
2 4 2
Cartesian
0.0000 0.0000 0.0000
2.7528 4.7530 3.5155
4.1292 3.2716 3.1820
1.3764 1.4814 0.3335
-1.6822 6.3971 4.1079
1.6822 4.9322 1.7772
0.0000 3.2881 1.1848
2.7528 1.4648 2.3307

---

Cr2HgOs (PBEsol, optimized geometry); DFT total energy = -31.1 eV for the cell shown; ΔE_f = 0.5387 eV/atom
1.0
-1.3329 -2.1363 -0.9160
2.6471 -0.0953 -0.4039
1.0391 -3.9702 7.7478
Os Cr Hg
1 2 1
Cartesian
0.8814 -1.9726 1.0120
1.4764 -4.2464 5.4492
1.0221 -3.9054 7.6214
0.5320 -2.0328 3.9669

---

What did the third record say?
Be2AlS (PBEsol, optimized geometry); DFT total energy = -31.9 eV for the cell shown
1.0
5.5057 0.0000 0.0000
-2.7528 5.1115 0.0389
0.0000 2.9297 4.6615
S Be Al
2 4 2
Cartesian
0.0000 0.0000 0.0000
2.7528 4.7530 3.5155
4.1292 3.2716 3.1820
1.3764 1.4814 0.3335
-1.6822 6.3971 4.1079
1.6822 4.9322 1.7772
0.0000 3.2881 1.1848
2.7528 1.4648 2.3307

---

> Look up the DFT total energy of the fourth one.

-31.1 eV for the cell shown

---

> Which of these has the highest DFT total energy?

SrAl2Co